Run one
The following is a DFT calculation (PBE) of an optimized crystal structure of PdSeS3.

The structure in POSCAR format:
```
PdSeS3
1.0
-2.856 -3.106 -1.998
-0.310 -2.316 4.042
-3.680 2.605 1.210
S Se Pd
3 1 1
direct
0.000 0.000 0.500 S
0.500 0.000 0.000 S
0.000 0.500 0.000 S
0.500 0.500 0.500 Se
0.000 0.000 0.000 Pd
```

Output
The space-group type is No. 221. The crystal system is cubic.


Run two
The following is a DFT calculation (PBE) of an optimized crystal structure of PdSeS3.

The structure in POSCAR format:
```
PdSeS3
1.0
-2.244 2.757 3.083
-2.673 -5.874 3.311
5.292 -0.026 4.225
S Pd Se
6 2 2
direct
0.183 0.927 0.254 S
0.020 0.502 0.586 S
0.121 0.484 0.082 S
0.621 0.868 0.582 S
0.684 0.425 0.754 S
0.520 0.851 0.086 S
0.328 0.675 0.808 Pd
0.828 0.678 0.308 Pd
0.970 0.947 0.766 Se
0.470 0.405 0.266 Se
```

Output
The space-group type is No. 7. The crystal system is monoclinic.


Going by the energies, run two is most stable and the next is 72.2 kJ/mol of atoms up.


Run one
The following is a DFT calculation (PBE) of an optimized crystal structure of SiPd2S.

The structure in POSCAR format:
```
SiPd2S
1.0
0.000 3.094 3.094
3.094 0.000 3.094
3.094 3.094 0.000
S Pd Si
1 2 1
direct
0.500 0.500 0.500 S
0.750 0.750 0.750 Pd
0.250 0.250 0.250 Pd
0.000 0.000 0.000 Si
```

Output
The space-group type is No. 225. The crystal system is cubic.


Run two
The following is a DFT calculation (PBE) of an optimized crystal structure of SiPd2S.

The structure in POSCAR format:
```
SiPd2S
1.0
-0.014 -4.000 -1.455
1.562 -1.359 3.719
-6.263 -3.606 3.749
Si Pd S
2 4 2
direct
0.500 0.500 0.000 Si
0.250 0.750 0.500 Si
0.375 0.380 0.750 Pd
0.620 0.125 0.250 Pd
0.875 0.870 0.750 Pd
0.130 0.625 0.250 Pd
0.000 0.000 0.000 S
0.750 0.250 0.500 S
```

Output
The space-group type is No. 122. The crystal system is tetragonal.


Going by the energies, run two is most stable and the next is 5.6 kJ/mol of atoms up.


Run one
The following is a DFT calculation (PBE) of an optimized crystal structure of SmPdS2.

The structure in POSCAR format:
```
SmPdS2
1.0
4.040 0.000 0.000
2.020 3.499 0.000
2.020 1.166 6.964
Pd S Sm
1 2 1
direct
0.721 0.721 0.836 Pd
0.057 0.057 0.829 S
0.227 0.227 0.319 S
0.495 0.495 0.516 Sm
```

Output
The space-group type is No. 160. The crystal system is trigonal.


Run two
The following is a DFT calculation (PBE) of an optimized crystal structure of SmPdS2.

The structure in POSCAR format:
```
SmPdS2
1.0
-0.544 -2.700 -2.475
2.649 -0.825 -2.452
3.758 -6.440 3.430
Pd Sm S
1 1 2
direct
0.500 0.500 0.500 Pd
0.000 0.000 0.000 Sm
0.885 0.885 0.344 S
0.115 0.115 0.656 S
```

Output
The space-group type is No. 166. The crystal system is trigonal.


Going by the energies, run one is most stable and the next is 71.4 kJ/mol of atoms up.


Run one
The following is a DFT calculation (PBE) of an optimized crystal structure of SnPd7S2.

The structure in POSCAR format:
```
SnPd7S2
1.0
-1.889 -1.117 -3.443
0.730 -3.921 0.872
-7.934 2.009 6.123
Pd S Sn
7 2 1
direct
0.102 0.602 0.204 Pd
0.398 0.898 0.796 Pd
0.500 0.500 0.000 Pd
0.898 0.398 0.796 Pd
0.250 0.750 0.500 Pd
0.602 0.102 0.204 Pd
0.750 0.250 0.500 Pd
0.326 0.326 0.651 S
0.674 0.674 0.349 S
0.000 0.000 0.000 Sn
```

Output
The space-group type is No. 139. The crystal system is tetragonal.


Run two
The following is a DFT calculation (PBE) of an optimized crystal structure of SnPd7S2.

The structure in POSCAR format:
```
SnPd7S2
1.0
-0.568 1.718 2.835
-0.776 -6.995 4.084
6.874 4.195 -1.164
S Sn Pd
2 1 7
direct
0.500 0.342 0.658 S
0.500 0.658 0.342 S
0.000 0.000 0.000 Sn
0.500 0.074 0.303 Pd
0.000 0.236 0.764 Pd
0.500 0.500 0.500 Pd
0.500 0.926 0.697 Pd
0.000 0.764 0.236 Pd
0.500 0.697 0.926 Pd
0.500 0.303 0.074 Pd
```

Output
The space-group type is No. 65. The crystal system is orthorhombic.


Going by the energies, run one is most stable and the next is 3.4 kJ/mol of atoms up.


Run one
The following is a DFT calculation (PBE) of an optimized crystal structure of SrPd3S.

The structure in POSCAR format:
```
SrPd3S
1.0
5.133 0.000 0.000
0.000 5.133 0.000
0.000 0.000 5.133
Pd Sr S
3 1 1
direct
0.000 0.000 0.500 Pd
0.000 0.500 0.000 Pd
0.500 0.000 0.000 Pd
0.000 0.000 0.000 Sr
0.500 0.500 0.500 S
```

Output
The space-group type is No. 221. The crystal system is cubic.


Run two
The following is a DFT calculation (PBE) of an optimized crystal structure of SrPd3S.

The structure in POSCAR format:
```
SrPd3S
1.0
4.667 0.000 0.000
0.000 4.667 0.000
0.000 0.000 4.667
S Pd Sr
1 3 1
direct
0.000 0.000 0.000 S
0.000 0.500 0.000 Pd
0.000 0.000 0.500 Pd
0.500 0.000 0.000 Pd
0.500 0.500 0.500 Sr
```

Output
The space-group type is No. 221. The crystal system is cubic.


Going by the energies, run two is most stable and the next is 167.8 kJ/mol of atoms up.


Run one
The following is a DFT calculation (PBE) of an optimized crystal structure of SrPdS3.

The structure in POSCAR format:
```
SrPdS3
1.0
-2.075 4.363 2.613
-4.947 -1.076 -2.132
-1.182 -3.159 4.336
Sr S Pd
1 3 1
direct
0.000 0.000 0.000 Sr
0.500 0.000 0.000 S
0.000 0.500 0.000 S
0.000 0.000 0.500 S
0.500 0.500 0.500 Pd
```

Output
The space-group type is No. 221. The crystal system is cubic.


Run two
The following is a DFT calculation (PBE) of an optimized crystal structure of SrPdS3.

The structure in POSCAR format:
```
SrPdS3
1.0
4.789 0.000 0.000
0.000 4.789 0.000
0.000 0.000 4.789
S Sr Pd
3 1 1
direct
0.000 0.000 0.500 S
0.000 0.500 0.000 S
0.500 0.000 0.000 S
0.500 0.500 0.500 Sr
0.000 0.000 0.000 Pd
```

Output
The space-group type is No. 221. The crystal system is cubic.


Going by the energies, run two is most stable and the next is 132.9 kJ/mol of atoms up.


Run one
The following is a DFT calculation (PBE) of an optimized crystal structure of TcPdS3.

The structure in POSCAR format:
```
TcPdS3
1.0
4.611 0.000 0.000
0.000 4.611 0.000
0.000 0.000 4.611
S Pd Tc
3 1 1
direct
0.500 0.000 0.000 S
0.000 0.000 0.500 S
0.000 0.500 0.000 S
0.500 0.500 0.500 Pd
0.000 0.000 0.000 Tc
```

Output
The space-group type is No. 221. The crystal system is cubic.


Run two
The following is a DFT calculation (PBE) of an optimized crystal structure of TcPdS3.

The structure in POSCAR format:
```
TcPdS3
1.0
-0.644 4.615 -0.347
-4.131 -0.415 2.145
2.088 0.602 4.137
S Tc Pd
3 1 1
direct
0.000 0.000 0.500 S
0.500 0.000 0.000 S
0.000 0.500 0.000 S
0.500 0.500 0.500 Tc
0.000 0.000 0.000 Pd
```

Output
The space-group type is No. 221. The crystal system is cubic.


Going by the energies, run one is most stable and the next is 42.5 kJ/mol of atoms up.


Run one
The following is a DFT calculation (PBE) of an optimized crystal structure of TcPd2S.

The structure in POSCAR format:
```
TcPd2S
1.0
-1.101 6.880 1.415
-1.926 -1.673 6.637
0.841 2.828 4.766
Tc Pd S
2 4 2
direct
0.000 0.000 0.000 Tc
0.750 0.250 0.500 Tc
0.583 0.125 0.250 Pd
0.375 0.417 0.750 Pd
0.167 0.625 0.250 Pd
0.875 0.833 0.750 Pd
0.500 0.500 0.000 S
0.250 0.750 0.500 S
```

Output
The space-group type is No. 122. The crystal system is tetragonal.


Run two
The following is a DFT calculation (PBE) of an optimized crystal structure of TcPd2S.

The structure in POSCAR format:
```
TcPd2S
1.0
0.000 3.159 3.159
3.159 0.000 3.159
3.159 3.159 0.000
Pd Tc S
2 1 1
direct
0.250 0.250 0.250 Pd
0.750 0.750 0.750 Pd
0.500 0.500 0.500 Tc
0.000 0.000 0.000 S
```

Output
The space-group type is No. 225. The crystal system is cubic.


Going by the energies, run one is most stable and the next is 28.6 kJ/mol of atoms up.